# 1
VASP calculation (GGA-PBE) on a geometry-optimized AgIrRu2 structure.

Structure (POSCAR):
```
AgIrRu2
1.0
2.738 0.000 0.000
0.000 3.871 0.000
0.000 0.000 5.655
Ru Ir Ag
2 1 1
direct
0.000 0.000 0.006 Ru
0.500 0.500 0.227 Ru
0.500 0.500 0.768 Ir
0.000 0.000 0.499 Ag
```

## Properties
* ΔE_f: 0.36 eV per atom
* ρ: 13.92 g/cm³
* magnetic moment: 0.00 μB per formula unit
* excess energy over the best structure of this formula in the dataset: 121.7 meV/atom


# 2
VASP calculation (GGA-PBE) on a geometry-optimized AgIr2Ru structure.

Structure (POSCAR):
```
AgIr2Ru
1.0
-2.746 -0.254 0.053
0.183 -1.222 3.643
-0.460 5.360 1.821
Ir Ru Ag
2 1 1
direct
0.000 0.000 0.483 Ir
0.000 0.000 0.017 Ir
0.500 0.500 0.250 Ru
0.500 0.500 0.750 Ag
```

## Properties
* ΔE_f: 0.31 eV per atom
* ρ: 16.35 g/cm³
* magnetic moment: 0.00 μB per formula unit
* excess energy over the best structure of this formula in the dataset: 122.7 meV/atom


# 3
VASP calculation (GGA-PBE) on a geometry-optimized Ag2IrRu structure.

Structure (POSCAR):
```
Ag2IrRu
1.0
-3.379 1.715 3.512
4.513 -1.818 1.740
1.068 2.477 -0.182
Ir Ag Ru
1 2 1
direct
0.500 0.000 0.500 Ir
0.500 0.500 0.000 Ag
0.000 0.000 0.000 Ag
0.000 0.500 0.500 Ru
```

## Properties
* ΔE_f: 0.62 eV per atom
* ρ: 13.18 g/cm³
* magnetic moment: 1.52 μB per formula unit
* excess energy over the best structure of this formula in the dataset: 402.1 meV/atom


# 4
VASP calculation (GGA-PBE) on a geometry-optimized AgIrRu2 structure.

Structure (POSCAR):
```
AgIrRu2
1.0
2.710 -0.007 0.000
-1.320 2.366 0.000
0.000 0.000 9.603
Ir Ru Ag
1 2 1
direct
0.500 0.500 0.750 Ir
0.000 0.000 0.988 Ru
0.000 0.000 0.512 Ru
0.500 0.500 0.250 Ag
```

## Properties
* ΔE_f: 0.50 eV per atom
* ρ: 13.56 g/cm³
* magnetic moment: 1.21 μB per formula unit
* excess energy over the best structure of this formula in the dataset: 255.5 meV/atom


# 5
VASP calculation (GGA-PBE) on a geometry-optimized AgIr2Ru structure.

Structure (POSCAR):
```
AgIr2Ru
1.0
4.294 0.000 0.000
0.000 2.731 0.041
0.000 1.327 5.249
Ir Ru Ag
2 1 1
direct
0.000 0.051 0.030 Ir
0.500 0.444 0.242 Ir
0.000 0.312 0.498 Ru
0.500 0.693 0.731 Ag
```

## Properties
* ΔE_f: 0.43 eV per atom
* ρ: 16.07 g/cm³
* magnetic moment: 0.00 μB per formula unit
* excess energy over the best structure of this formula in the dataset: 242.1 meV/atom


# 6
VASP calculation (GGA-PBE) on a geometry-optimized Ag2IrRu structure.

Structure (POSCAR):
```
Ag2IrRu
1.0
-2.620 0.786 -0.119
0.894 -1.911 -1.744
-2.398 -7.020 6.463
Ir Ag Ru
1 2 1
direct
0.500 0.500 0.250 Ir
0.000 0.000 0.999 Ag
0.000 0.000 0.501 Ag
0.500 0.500 0.750 Ru
```

## Properties
* ΔE_f: 0.53 eV per atom
* ρ: 13.11 g/cm³
* magnetic moment: 1.14 μB per formula unit
* excess energy over the best structure of this formula in the dataset: 311.0 meV/atom


Number 2 is which compound? AgIr2Ru